1.
Here is a relaxed structure of GdPuRh from Alexandria via LeMat-Bulk. Energies are from PBE.

spin magnetization: 1.2 Bohr magnetons per cell
energy above the most stable polymorph in this dataset: 0.000 eV/atom
volume: 72 Å³/cell
energy of formation: -0.33 eV/atom
density of states at the Fermi level: 3.219 states/eV/atom

a b c (Å): 3.5291 3.5291 6.2708
angles (deg): 106.34 106.34 90.00
Site moments in Bohr magnetons follow the coordinates.
Element x y z (fractional)
Pu: 0.0287 0.0287 0.0574  5.33
Gd: 0.3085 0.3085 0.6171  -6.80
Rh: 0.6628 0.6628 0.3255  -0.14

***

2.
Here is a relaxed structure of GdPuRh2 from Alexandria via LeMat-Bulk. Energies are from PBE.

spin magnetization: 2.1 Bohr magnetons per cell
energy above the most stable polymorph in this dataset: 0.000 eV/atom
volume: 82 Å³/cell
energy of formation: -0.59 eV/atom
density of states at the Fermi level: 2.516 states/eV/atom

a b c (Å): 3.3606 4.9290 4.9290
angles (deg): 90.00 90.00 90.00
Site moments in Bohr magnetons follow the coordinates.
Element x y z (fractional)
Rh: 0.0000 0.0000 0.5000  0.16
Rh: 0.0000 0.5000 0.0000  0.16
Pu: 0.5000 0.0000 0.0000  -5.02
Gd: 0.5000 0.5000 0.5000  6.94

***

3.
Here is a relaxed structure of GdPuRh2 from Alexandria via LeMat-Bulk. Energies are from PBE.

spin magnetization: 11.8 Bohr magnetons per cell
energy above the most stable polymorph in this dataset: 0.008 eV/atom
volume: 82 Å³/cell
energy of formation: -0.58 eV/atom
density of states at the Fermi level: 2.489 states/eV/atom

a b c (Å): 4.8693 4.8693 4.8722
angles (deg): 60.02 60.02 60.00
Site moments in Bohr magnetons follow the coordinates.
Element x y z (fractional)
Rh: 0.7500 0.7500 0.7500  -0.30
Rh: 0.2500 0.2500 0.2500  -0.30
Gd: 0.5000 0.5000 0.5000  7.05
Pu: 0.0000 0.0000 0.0000  5.02

***

4.
Here is a relaxed structure of GdPuRh from Alexandria via LeMat-Bulk. Energies are from PBE.

spin magnetization: 1.4 Bohr magnetons per cell
energy above the most stable polymorph in this dataset: 0.093 eV/atom
volume: 66 Å³/cell
energy of formation: -0.24 eV/atom
density of states at the Fermi level: 2.654 states/eV/atom

a b c (Å): 3.3060 4.7984 4.7984
angles (deg): 120.00 90.00 90.00
Site moments in Bohr magnetons follow the coordinates.
Element x y z (fractional)
Pu: 0.6139 0.3333 0.6667  -5.33
Rh: 0.3759 0.6667 0.3333  0.05
Gd: 0.0102 0.0000 0.0000  6.84

***

5.
Here is a relaxed structure of GdPuRh from Alexandria via LeMat-Bulk. Energies are from PBE.

spin magnetization: 1.2 Bohr magnetons per cell
energy above the most stable polymorph in this dataset: 0.027 eV/atom
volume: 79 Å³/cell
energy of formation: -0.30 eV/atom
density of states at the Fermi level: 3.876 states/eV/atom

a b c (Å): 4.8172 4.8172 4.8172
angles (deg): 60.00 60.00 60.00
Site moments in Bohr magnetons follow the coordinates.
Element x y z (fractional)
Pu: 0.0000 0.0000 0.0000  -5.37
Rh: 0.2500 0.2500 0.2500  0.12
Gd: 0.5000 0.5000 0.5000  6.82

***

6.
Here is a relaxed structure of Gd2PuRh from Alexandria via LeMat-Bulk. Energies are from PBE.

spin magnetization: 21.3 Bohr magnetons per cell
energy above the most stable polymorph in this dataset: 0.294 eV/atom
volume: 97 Å³/cell
energy of formation: -0.01 eV/atom
density of states at the Fermi level: 3.647 states/eV/atom

a b c (Å): 5.1484 5.1484 5.1706
angles (deg): 60.14 60.14 60.00
Site moments in Bohr magnetons follow the coordinates.
Element x y z (fractional)
Gd: 0.7493 0.7493 0.7520  7.36
Gd: 0.2507 0.2507 0.2480  7.36
Pu: 0.5000 0.5000 0.5000  5.81
Rh: 0.0000 0.0000 0.0000  -0.11